# 1
Material: Al3Ag2
Method: DFT, GGA-PBE
State: optimized geometry

The structure in POSCAR format:
```
Al3Ag2
1.0
2.9351 1.6946 6.3777
-2.9351 1.6946 6.3777
0.0000 -3.3891 6.3777
Al Ag
6 4
Direct
0.1516 0.7500 0.3484
0.2500 0.6516 0.8484
0.3484 0.1516 0.7500
0.6516 0.8484 0.2500
0.7500 0.3484 0.1516
0.8484 0.2500 0.6516
0.1789 0.1789 0.1789
0.3211 0.3211 0.3211
0.6789 0.6789 0.6789
0.8211 0.8211 0.8211
```



# 2
Material: Al3Ag
Method: DFT, GGA-PBE
State: optimized geometry

The structure in POSCAR format:
```
Al3Ag
1.0
4.0663 0.0000 0.0000
0.0000 4.0663 0.0000
0.0000 0.0000 4.0663
Al Ag
3 1
Direct
0.0000 0.0000 0.5000
0.0000 0.5000 0.0000
0.5000 0.0000 0.0000
0.5000 0.5000 0.5000
```



# 3
Material: AlAg2
Method: DFT, GGA-PBE
State: optimized geometry

The structure in POSCAR format:
```
AlAg2
1.0
5.5042 0.0000 0.0000
0.0000 5.5042 0.0000
0.0000 0.0000 4.3080
Al Ag
2 4
Direct
0.0000 0.0000 0.0000
0.5000 0.5000 0.5000
0.1803 0.1803 0.5000
0.3197 0.6803 0.0000
0.6803 0.3197 0.0000
0.8197 0.8197 0.5000
```



# 4
Material: AlAg
Method: DFT, GGA-PBE
State: optimized geometry

The structure in POSCAR format:
```
AlAg
1.0
0.0000 2.6816 2.6816
2.6816 0.0000 2.6816
2.6816 2.6816 0.0000
Al Ag
1 1
Direct
0.0000 0.0000 0.0000
0.5000 0.5000 0.5000
```



no.,energy (eV for the cell shown),density (g/cm³)
1,-31.70,5.2
2,-13.90,4.7
3,-16.56,6.2
4,-6.07,5.8